# 1
Material: Th6Ge3TeSe2
Method: DFT, PBE
State: relaxed

The structure in extended XYZ format:
```
12
Lattice="-2.9224 2.8357 -1.4393 -1.1425 -4.7764 -7.0907 -4.8807 -4.9350 6.6668" Properties=species:S:1:pos:R:3 pbc="T T T"
Th -3.7654 -0.1884 0.7941
Th -8.1000 -3.3813 3.3045
Th -5.1802 -6.6872 -2.6574
Th -4.7301 -4.3222 1.0884
Th -4.2155 -2.5535 -2.9517
Th -0.8456 -3.4944 -5.1678
Ge -3.0292 -5.1269 -3.9506
Ge -2.0324 -0.9703 -4.2650
Ge -5.9164 -1.7487 2.0873
Se -6.4347 -4.0991 -1.4910
Se -2.5109 -2.7766 -0.3723
Te -1.4612 1.4179 -0.7197
```

* size of the total moment: 0.00 Bohr magnetons per cell
* raw formation energy: -109.7 kJ per mole of atoms
* theoretical density: 9.245 g cm⁻³



# 2
Material: La2As3Pt4Au
Method: DFT, PBE
State: relaxed

The structure in extended XYZ format:
```
10
Lattice="4.4318 0.0000 0.0000 0.0000 4.4318 0.0000 0.0000 0.0000 10.4384" Properties=species:S:1:pos:R:3 pbc="T T T"
Pt 2.2159 0.0000 6.7176
Pt 0.0000 2.2159 3.7208
Pt 0.0000 0.0000 0.0000
Pt 2.2159 2.2159 0.0000
As 2.2159 0.0000 9.1319
As 0.0000 2.2159 1.3065
As 0.0000 0.0000 5.2192
La 2.2159 0.0000 2.5756
La 0.0000 2.2159 7.8628
Au 2.2159 2.2159 5.2192
```

* size of the total moment: 0.00 Bohr magnetons per cell
* E_form: -839 meV/atom
* theoretical density: 11.986 g cm⁻³



# 3
Material: Zr3TlH
Method: DFT, PBE
State: relaxed

The structure in extended XYZ format:
```
10
Lattice="-3.7019 1.5032 4.1278 1.1307 -4.6390 7.3787 3.9453 1.8303 0.5472" Properties=species:S:1:pos:R:3 pbc="T T T"
Zr 0.0194 1.7944 3.3654
Zr 0.5842 -0.5242 7.0560
Zr 3.5552 -1.3840 6.0618
Zr -1.6689 -0.2803 4.9381
Zr -1.1031 -2.6009 8.6262
Zr 2.9900 0.9355 2.3723
H 0.1435 0.9191 5.4136
H 0.7083 -1.4010 9.1031
Tl 1.8908 -3.5039 7.5998
Tl 1.3250 -1.1839 3.9119
```

* size of the total moment: 0.00 Bohr magnetons per cell
* E: -6.487 eV per atom
* theoretical density: 8.539 g cm⁻³



# 4
Material: BeCdTcTe2
Method: DFT, PBE
State: relaxed

The structure in extended XYZ format:
```
5
Lattice="5.6551 0.0000 0.0000 0.0000 4.4230 0.0000 0.0000 0.0000 5.6551" Properties=species:S:1:pos:R:3 pbc="T T T"
Te 2.8275 0.0000 0.0000
Te 0.0000 0.0000 2.8275
Cd 0.0000 0.0000 0.0000
Be 0.0000 2.2115 0.0000
Tc 2.8275 2.2115 2.8275
```

* size of the total moment: 4.55 Bohr magnetons per cell
* raw formation energy: 129.1 kJ per mole of atoms
* theoretical density: 5.572 g cm⁻³



# 5
Material: Rb3Ho2MgSe6
Method: DFT, PBE
State: relaxed

The structure in extended XYZ format:
```
12
Lattice="-3.9065 -5.7939 1.8048 6.9592 -0.7456 -1.7611 1.0411 3.1921 7.6914" Properties=species:S:1:pos:R:3 pbc="T T T"
Mg 0.0000 0.0000 0.0000
Ho 3.3365 -2.4287 -0.5722
Ho -0.2838 -4.1107 0.6159
Se 1.4058 -3.2970 6.8301
Se 4.9833 -1.6349 5.6560
Se 2.6879 -0.0503 0.9050
Se -0.8896 -1.7125 2.0791
Se 2.4445 -4.1901 1.5165
Se 1.6493 0.8427 6.2186
Rb -1.5702 -3.3542 5.0546
Rb 2.0469 -1.6737 3.8676
Rb 5.6639 0.0068 2.6805
```

* size of the total moment: 0.00 Bohr magnetons per cell
* raw formation energy: -139.3 kJ per mole of atoms
* theoretical density: 4.965 g cm⁻³



# 6
Material: RbBePS2
Method: DFT, PBE
State: relaxed

The structure in extended XYZ format:
```
5
Lattice="-4.1578 -0.2767 -5.0826 4.4489 -3.3863 -3.4550 -2.6356 -5.9955 2.4825" Properties=species:S:1:pos:R:3 pbc="T T T"
S 2.2244 -1.6931 -1.7275
S -2.0789 -0.1384 -2.5413
Be -1.1723 -4.8293 -3.0276
P -1.3178 -2.9978 1.2412
Rb 0.0000 0.0000 0.0000
```

* size of the total moment: 6.00 Bohr magnetons per cell
* raw formation energy: 183.1 kJ per mole of atoms
* theoretical density: 1.041 g cm⁻³



# 7
Material: LiP2Ru
Method: DFT, PBE
State: relaxed

The structure in extended XYZ format:
```
8
Lattice="3.6692 0.0000 0.0000 0.0000 5.0794 0.0000 0.0000 0.0000 5.9115" Properties=species:S:1:pos:R:3 pbc="T T T"
Li 0.0000 2.5397 0.0000
Li 1.8346 0.0000 2.9557
P 1.8346 1.3964 0.8373
P 0.0000 1.1433 3.7930
P 1.8346 3.6830 5.0742
P 0.0000 3.9361 2.1185
Ru 0.0000 0.0000 0.0000
Ru 1.8346 2.5397 2.9557
```

* size of the total moment: 0.00 Bohr magnetons per cell
* E_form: -351 meV/atom
* theoretical density: 5.123 g cm⁻³



# 8
Material: CrPtAu
Method: DFT, PBE
State: relaxed

The structure in extended XYZ format:
```
3
Lattice="-1.8825 -2.6551 3.0238 4.2441 -0.6143 -1.1607 0.8315 1.7926 2.0918" Properties=species:S:1:pos:R:3 pbc="T T T"
Au 0.8305 1.7904 2.0892
Pt 2.6148 -0.4043 1.2729
Cr 0.5793 -1.0702 2.6845
```

* size of the total moment: 3.54 Bohr magnetons per cell
* E_form: 106 meV/atom
* theoretical density: 14.991 g cm⁻³



# 9
Material: Ba12Pb5F2
Method: DFT, PBE
State: relaxed

The structure in extended XYZ format:
```
19
Lattice="9.2939 0.0000 0.0000 -4.6470 9.2191 -0.2241 0.0000 -3.5059 10.9690" Properties=species:S:1:pos:R:3 pbc="T T T"
F 6.0866 0.0000 0.0000
F 3.2074 0.0000 0.0000
Pb 0.0000 5.0252 1.2773
Pb 0.0000 -1.7529 5.4845
Pb 4.6470 2.6225 3.6506
Pb 0.0000 3.0907 7.0943
Pb 4.6470 0.6880 9.4676
Ba 6.7391 0.7563 5.9224
Ba -2.3315 3.3753 9.7251
Ba 0.0000 -0.2091 8.7490
Ba 4.6470 5.9223 1.9959
Ba -2.0922 4.9569 4.8224
Ba 2.3315 3.3753 9.7251
Ba 6.9784 2.3379 1.0197
Ba 2.3155 2.3379 1.0197
Ba 4.6470 -2.6733 8.7591
Ba 0.0000 8.3865 1.9858
Ba 2.5548 0.7563 5.9224
Ba 2.0922 4.9569 4.8224
```

* size of the total moment: 1.63 Bohr magnetons per cell
* raw formation energy: -86.3 kJ per mole of atoms
* theoretical density: 4.847 g cm⁻³



# 10
Material: AcAl2Cd
Method: DFT, PBE
State: relaxed

The structure in extended XYZ format:
```
32
Lattice="4.5675 0.0000 0.0000 0.0000 11.9058 0.0000 0.0000 0.0000 15.2002" Properties=species:S:1:pos:R:3 pbc="T T T"
Al 1.1419 0.5232 0.3216
Al 3.4256 9.2415 13.4302
Al 3.4256 6.4761 7.2785
Al 1.1419 3.1178 11.9714
Al 3.4256 11.3826 14.8786
Al 3.4256 9.0708 10.8290
Al 3.4256 6.5266 1.9625
Al 3.4256 8.7880 3.2288
Al 3.4256 11.3321 9.5626
Al 1.1419 5.4297 7.9217
Al 1.1419 5.3792 13.2377
Al 1.1419 3.2886 9.3702
Al 1.1419 2.8351 4.3713
Al 3.4256 8.6172 5.8301
Al 1.1419 2.6643 1.7701
Al 1.1419 0.5737 5.6376
Cd 3.4256 11.2583 6.7041
Cd 3.4256 2.0423 10.6566
Cd 1.1419 5.3054 0.8960
Cd 3.4256 3.9106 3.0565
Cd 1.1419 7.9952 12.1437
Cd 3.4256 6.6005 14.3042
Cd 1.1419 9.8636 4.5436
Cd 1.1419 0.6475 8.4961
Ac 1.1419 6.2944 4.5542
Ac 3.4256 3.0001 6.8222
Ac 1.1419 11.5644 12.1543
Ac 3.4256 2.9528 14.4223
Ac 3.4256 5.6115 10.6460
Ac 1.1419 8.9057 8.3780
Ac 1.1419 8.9530 0.7779
Ac 3.4256 0.3414 3.0459
```

* size of the total moment: 0.00 Bohr magnetons per cell
* E_form: -336 meV/atom
* theoretical density: 6.322 g cm⁻³



# 11
Material: KTaSe2Br
Method: DFT, PBE
State: relaxed

The structure in extended XYZ format:
```
5
Lattice="-4.1032 -0.9036 3.4968 -2.5724 -2.8097 -3.7446 2.4727 -4.5604 1.7232" Properties=species:S:1:pos:R:3 pbc="T T T"
Br 0.0000 0.0000 0.0000
K -1.2862 -1.4049 -1.8723
Ta -2.1015 -4.1368 0.7377
Se -2.0516 -0.4518 1.7484
Se 1.2364 -2.2802 0.8616
```

* size of the total moment: 3.19 Bohr magnetons per cell
* raw formation energy: 111.6 kJ per mole of atoms
* theoretical density: 4.763 g cm⁻³



# 12
Material: YTh2In
Method: DFT, PBE
State: relaxed

The structure in extended XYZ format:
```
4
Lattice="4.2254 0.0000 0.0000 0.0000 4.2254 0.0000 0.0000 0.0000 6.9241" Properties=species:S:1:pos:R:3 pbc="T T T"
Y 2.1127 2.1127 3.4620
Th 0.0000 0.0000 5.3263
Th 0.0000 0.0000 1.5978
In 2.1127 2.1127 0.0000
```

* size of the total moment: 0.00 Bohr magnetons per cell
* E_form: -58 meV/atom
* theoretical density: 8.970 g cm⁻³



# 13
Material: Al2VS4
Method: DFT, PBE
State: relaxed

The structure in extended XYZ format:
```
7
Lattice="-2.8026 0.1332 2.1627 -0.4315 -6.0106 -0.1891 5.0961 2.8124 3.5295" Properties=species:S:1:pos:R:3 pbc="T T T"
S 0.5836 -4.0754 1.0071
S -0.5065 -0.9028 2.3006
S 1.2785 1.0104 4.4959
S 2.3685 -2.1622 3.2025
Al -0.0059 -3.1166 3.0857
Al 1.8679 0.0515 2.4174
V 0.0000 0.0000 0.0000
```

* size of the total moment: 2.93 Bohr magnetons per cell
* raw formation energy: -91.0 kJ per mole of atoms
* theoretical density: 3.182 g cm⁻³



# 14
Material: Ba2NaInI6
Method: DFT, PBE
State: relaxed

The structure in extended XYZ format:
```
10
Lattice="8.6650 0.0011 0.0019 4.3334 7.5037 0.0019 4.3339 2.5028 7.7201" Properties=species:S:1:pos:R:3 pbc="T T T"
I 7.1681 2.2646 1.9196
I 6.1213 5.0273 5.8606
I 9.9192 2.7879 5.8607
I 9.9579 7.1971 5.8597
I 7.0413 7.6682 1.9200
I 11.7879 5.0776 1.9226
Ba 8.6659 5.0031 3.4461
Ba 4.3338 2.5029 7.4046
In 12.9990 7.5056 4.2501
Na 4.3344 2.5024 0.2915
```

* size of the total moment: 0.00 Bohr magnetons per cell
* raw formation energy: -133.8 kJ per mole of atoms
* theoretical density: 3.884 g cm⁻³



# 15
Material: HfCuH3
Method: DFT, PBE
State: relaxed

The structure in extended XYZ format:
```
5
Lattice="3.7173 0.0000 0.0000 0.0000 3.7173 0.0000 0.0000 0.0000 3.7173" Properties=species:S:1:pos:R:3 pbc="T T T"
Hf 0.0000 0.0000 0.0000
H 0.0000 0.0000 1.8586
H 1.8586 0.0000 0.0000
H 0.0000 1.8586 0.0000
Cu 1.8586 1.8586 1.8586
```

* size of the total moment: 0.00 Bohr magnetons per cell
* E: -4.667 eV per atom
* theoretical density: 7.922 g cm⁻³



# 16
Material: NdCuNiPb
Method: DFT, PBE
State: relaxed

The structure in extended XYZ format:
```
4
Lattice="4.8073 0.0000 0.0000 2.4036 4.1632 0.0000 2.4036 1.3877 3.9251" Properties=species:S:1:pos:R:3 pbc="T T T"
Cu 2.4036 1.3877 0.9813
Nd 0.0000 0.0000 0.0000
Ni 7.2109 4.1632 2.9439
Pb 4.8073 2.7755 1.9626
```

* size of the total moment: 0.00 Bohr magnetons per cell
* E_form: -193 meV/atom
* theoretical density: 10.013 g cm⁻³



# 17
Material: NbBrF2
Method: DFT, PBE
State: relaxed

The structure in extended XYZ format:
```
8
Lattice="-4.2051 -0.9835 6.3188 -7.6083 -0.2049 0.8056 5.9430 -2.6331 -4.0404" Properties=species:S:1:pos:R:3 pbc="T T T"
Nb 0.0000 0.0000 0.0000
Nb -2.0844 -2.1055 2.9203
F -1.0422 -1.0527 1.4601
F -3.1447 -1.5445 4.6196
F -3.9774 -2.9635 3.0022
F -0.1732 -2.8611 2.5993
Br -5.9067 -0.5942 3.5622
Br -3.7860 -1.7161 0.1637
```

* size of the total moment: 4.00 Bohr magnetons per cell
* raw formation energy: -144.8 kJ per mole of atoms
* theoretical density: 4.749 g cm⁻³



# 18
Material: PmTaRu4
Method: DFT, PBE
State: relaxed

The structure in extended XYZ format:
```
6
Lattice="-4.1735 -1.5649 -2.7850 0.0438 -4.6773 -2.3968 -3.0405 -3.8970 1.7867" Properties=species:S:1:pos:R:3 pbc="T T T"
Ru -2.9631 -4.3907 -3.0112
Ru -4.4785 -6.3330 -2.1206
Ru -4.5004 -4.0018 -0.9260
Ru -2.3983 -5.5530 -0.7325
Pm 0.0000 0.0000 0.0000
Ta -1.7925 -2.5348 -0.8488
```

* size of the total moment: 0.00 Bohr magnetons per cell
* E_form: 6 meV/atom
* theoretical density: 11.811 g cm⁻³



# 19
Material: Pr3ScSn2
Method: DFT, PBE
State: relaxed

The structure in extended XYZ format:
```
6
Lattice="4.3078 0.0003 -1.2453 -0.3775 4.5962 -1.3042 0.3267 0.1433 9.1843" Properties=species:S:1:pos:R:3 pbc="T T T"
Sn 1.5019 4.1021 5.1754
Sn 2.7551 0.6377 1.4594
Pr 0.6236 3.1606 2.1554
Pr 1.9652 2.2982 -1.2747
Pr 3.6334 1.5791 4.4795
Sc 0.0000 0.0000 0.0000
```

* size of the total moment: 0.28 Bohr magnetons per cell
* E_form: -597 meV/atom
* theoretical density: 6.343 g cm⁻³



# 20
Material: ZnFeI2N
Method: DFT, PBE
State: relaxed

The structure in extended XYZ format:
```
5
Lattice="-5.2379 1.2461 -0.6831 -1.3378 -3.4436 3.9759 0.3108 2.5970 2.3539" Properties=species:S:1:pos:R:3 pbc="T T T"
Fe 0.0000 0.0000 0.0000
I -2.6190 0.6231 -0.3416
I -0.6689 -1.7218 1.9879
N 0.1554 1.2985 1.1770
Zn -3.1324 0.1998 2.8233
```

* size of the total moment: 0.06 Bohr magnetons per cell
* raw formation energy: 38.1 kJ per mole of atoms
* theoretical density: 6.233 g cm⁻³



# 21
Material: Sm7TlCd4
Method: DFT, PBE
State: relaxed

The structure in extended XYZ format:
```
12
Lattice="5.9162 0.0000 0.0000 2.9581 8.4834 1.2207 2.9581 1.2958 7.3277" Properties=species:S:1:pos:R:3 pbc="T T T"
Sm 2.9581 5.3532 2.6387
Sm 2.9581 0.0000 0.0000
Sm 5.9162 2.8452 2.0388
Sm 2.9581 1.6935 3.9045
Sm 5.9162 6.9340 6.5096
Sm 8.8743 4.4260 5.9097
Sm 8.8743 8.0857 4.6439
Cd 2.9581 2.9314 0.6854
Cd 5.9162 3.5080 4.9927
Cd 5.9162 6.2711 3.5557
Cd 8.8743 6.8478 7.8630
Tl 0.0000 0.0000 0.0000
```

* size of the total moment: 0.00 Bohr magnetons per cell
* E_form: -113 meV/atom
* theoretical density: 7.906 g cm⁻³



# 22
Material: GaTe2SeN
Method: DFT, PBE
State: relaxed

The structure in extended XYZ format:
```
5
Lattice="-3.6260 -4.2247 -2.5141 4.6696 -3.9367 -0.1195 -0.8959 -1.1612 3.2434" Properties=species:S:1:pos:R:3 pbc="T T T"
Te 2.3348 -1.9683 -0.0598
Te -1.8130 -2.1124 -1.2570
Ga 0.0739 -4.6613 0.3049
Se 0.0000 0.0000 0.0000
N -0.4479 -0.5806 1.6217
```

* size of the total moment: 0.00 Bohr magnetons per cell
* raw formation energy: 78.4 kJ per mole of atoms
* theoretical density: 5.224 g cm⁻³



# 23
Material: AlPdPbS2
Method: DFT, PBE
State: relaxed

The structure in extended XYZ format:
```
5
Lattice="4.9877 0.0000 0.0000 0.0000 4.6268 0.0000 0.0000 0.0000 4.9877" Properties=species:S:1:pos:R:3 pbc="T T T"
S 2.4939 0.0000 0.0000
S 0.0000 0.0000 2.4939
Pd 0.0000 0.0000 0.0000
Pb 2.4939 2.3134 2.4939
Al 0.0000 2.3134 0.0000
```

* size of the total moment: 0.00 Bohr magnetons per cell
* raw formation energy: 6.3 kJ per mole of atoms
* theoretical density: 5.839 g cm⁻³



# 24
Material: SrMg2In
Method: DFT, PBE
State: relaxed

The structure in extended XYZ format:
```
4
Lattice="-2.8390 -3.7141 -0.9804 2.4734 -0.8345 -4.0002 3.1305 -3.0730 2.5768" Properties=species:S:1:pos:R:3 pbc="T T T"
Sr 0.1458 -3.3936 0.7982
Mg -0.1828 -2.2743 -2.4903
Mg 0.0000 0.0000 0.0000
In 2.8020 -1.9537 -0.7117
```

* size of the total moment: 0.00 Bohr magnetons per cell
* E_form: -126 meV/atom
* theoretical density: 3.591 g cm⁻³